{
  "formula": "Y5Sc",
  "functional": "meta-GGA SCAN",
  "state": "single point on PBEsol structure",
  "cell": [[3.4729, 0.0000, 0.0000], [0.0000, 3.4729, 0.0000], [0.0000, 0.0000, 14.5353]],
  "species": ["Y", "Y", "Y", "Y", "Y", "Sc"],
  "fractional_positions": [[0.0000, 0.0000, 0.6564], [0.5000, 0.5000, 0.8286], [0.0000, 0.0000, 0.0000], [0.5000, 0.5000, 0.1714], [0.0000, 0.0000, 0.3436], [0.5000, 0.5000, 0.5000]],
  "space_group": "No. 123",
  "formation_enthalpy_0k_ev_per_atom": 0.0687
}

=====

{
  "formula": "Y5Sc",
  "functional": "meta-GGA SCAN",
  "state": "single point on PBEsol structure",
  "cell": [[-4.0139, 4.7529, 1.4532], [-6.1519, -0.3888, -1.6781], [-4.4823, -0.8587, 4.4705]],
  "species": ["Sc", "Y", "Y", "Y", "Y", "Y"],
  "fractional_positions": [[0.0000, 0.0000, 0.0000], [0.6252, 0.6252, 0.1243], [0.2500, 0.2500, 0.2500], [0.6252, 0.1243, 0.6252], [0.6252, 0.6252, 0.6252], [0.1243, 0.6252, 0.6252]],
  "space_group": "No. 216",
  "formation_enthalpy_0k_ev_per_atom": 0.2966
}

=====

{
  "formula": "Y2Sc3",
  "functional": "meta-GGA SCAN",
  "state": "single point on PBEsol structure",
  "cell": [[-0.0117, 3.3160, 0.4411], [-1.5979, 1.9716, -2.1795], [-11.8217, 0.7447, 6.7738]],
  "species": ["Y", "Y", "Sc", "Sc", "Sc"],
  "fractional_positions": [[0.7969, 0.7969, 0.6092], [0.2031, 0.2031, 0.3908], [0.6037, 0.6037, 0.1889], [0.0000, 0.0000, 0.0000], [0.3963, 0.3963, 0.8111]],
  "relative_energy_mev_per_atom": 0,
  "space_group": "No. 166",
  "formation_enthalpy_0k_ev_per_atom": 0.0952
}

=====

{
  "formula": "Y3Sc",
  "functional": "meta-GGA SCAN",
  "state": "single point on PBEsol structure",
  "cell": [[5.4488, 0.0000, 0.0000], [0.0000, 6.0684, 0.0000], [0.0000, 0.0000, 7.0200]],
  "species": ["Sc", "Sc", "Y", "Y", "Y", "Y", "Y", "Y"],
  "fractional_positions": [[0.0000, 0.6692, 0.0000], [0.5000, 0.3308, 0.5000], [0.5000, 0.3415, 0.0000], [0.0000, 0.1695, 0.7486], [0.5000, 0.8305, 0.7514], [0.0000, 0.6585, 0.5000], [0.0000, 0.1695, 0.2514], [0.5000, 0.8305, 0.2486]],
  "relative_energy_mev_per_atom": 1,
  "space_group": "No. 59",
  "formation_enthalpy_0k_ev_per_atom": 0.0190
}

=====

{
  "formula": "Y3Sc",
  "functional": "meta-GGA SCAN",
  "state": "single point on PBEsol structure",
  "cell": [[3.5143, 0.0000, 0.0000], [0.0000, 6.0603, 0.0000], [-1.7572, -3.0301, 5.4487]],
  "species": ["Y", "Y", "Y", "Sc"],
  "fractional_positions": [[0.2564, 0.9207, 0.5127], [0.5000, 0.5058, 0.0000], [0.7436, 0.4079, 0.4873], [0.0000, 0.9989, 0.0000]],
  "relative_energy_mev_per_atom": 12,
  "space_group": "No. 44",
  "formation_enthalpy_0k_ev_per_atom": 0.0293
}

=====

{
  "formula": "Y3Sc",
  "functional": "meta-GGA SCAN",
  "state": "single point on PBEsol structure",
  "cell": [[-4.4969, -1.7018, 0.6655], [1.5631, -4.4981, -0.9403], [0.9464, -0.6568, 4.7153]],
  "species": ["Y", "Y", "Y", "Sc"],
  "fractional_positions": [[0.0000, 0.5000, 0.5000], [0.5000, 0.0000, 0.5000], [0.5000, 0.5000, 0.0000], [0.0000, 0.0000, 0.0000]],
  "relative_energy_mev_per_atom": 66,
  "space_group": "No. 221",
  "formation_enthalpy_0k_ev_per_atom": 0.0832
}

=====

{
  "formula": "YSc5",
  "functional": "meta-GGA SCAN",
  "state": "single point on PBEsol structure",
  "cell": [[3.2714, 0.0000, 0.0000], [0.0000, 3.2714, 0.0000], [0.0000, 0.0000, 13.7573]],
  "species": ["Y", "Sc", "Sc", "Sc", "Sc", "Sc"],
  "fractional_positions": [[0.5000, 0.5000, 0.5000], [0.0000, 0.0000, 0.6770], [0.5000, 0.5000, 0.8383], [0.0000, 0.0000, 0.0000], [0.5000, 0.5000, 0.1617], [0.0000, 0.0000, 0.3230]],
  "relative_energy_mev_per_atom": 62,
  "space_group": "No. 123",
  "formation_enthalpy_0k_ev_per_atom": 0.0820
}

=====

{
  "formula": "Y3Sc",
  "functional": "meta-GGA SCAN",
  "state": "single point on PBEsol structure",
  "cell": [[5.4467, 0.0000, 0.0000], [0.0000, 7.0146, 0.0000], [0.0000, -3.5073, 6.0748]],
  "species": ["Sc", "Sc", "Y", "Y", "Y", "Y", "Y", "Y"],
  "fractional_positions": [[0.7500, 0.6667, 0.3333], [0.2500, 0.3333, 0.6667], [0.7500, 0.1695, 0.3390], [0.2500, 0.8305, 0.6610], [0.7500, 0.1695, 0.8305], [0.2500, 0.8305, 0.1695], [0.7500, 0.6610, 0.8305], [0.2500, 0.3390, 0.1695]],
  "relative_energy_mev_per_atom": 0,
  "space_group": "No. 194",
  "formation_enthalpy_0k_ev_per_atom": 0.0176
}

=====

{
  "formula": "Y2Sc",
  "functional": "meta-GGA SCAN",
  "state": "single point on PBEsol structure",
  "cell": [[-2.2762, -3.3472, 2.5492], [3.0602, 0.7369, 3.7000], [-3.3017, 6.7234, 1.3917]],
  "species": ["Y", "Y", "Y", "Y", "Sc", "Sc"],
  "fractional_positions": [[0.5803, 0.7500, 0.1605], [0.4197, 0.2500, 0.8395], [0.2519, 0.7500, 0.5038], [0.7481, 0.2500, 0.4962], [0.9187, 0.7500, 0.8373], [0.0813, 0.2500, 0.1627]],
  "relative_energy_mev_per_atom": 59,
  "space_group": "No. 63",
  "formation_enthalpy_0k_ev_per_atom": 0.0894
}

=====

{
  "formula": "YSc",
  "functional": "meta-GGA SCAN",
  "state": "single point on PBEsol structure",
  "cell": [[-2.1229, -1.9637, -1.7417], [1.4565, -4.5114, 3.3113], [-3.2358, 3.0482, 3.7789]],
  "species": ["Y", "Y", "Sc", "Sc"],
  "fractional_positions": [[0.8786, 0.6315, 0.7572], [0.1214, 0.3685, 0.2428], [0.6293, 0.8775, 0.2586], [0.3707, 0.1225, 0.7414]],
  "relative_energy_mev_per_atom": 79,
  "space_group": "No. 12",
  "formation_enthalpy_0k_ev_per_atom": 0.1000
}

=====

{
  "formula": "YSc",
  "functional": "meta-GGA SCAN",
  "state": "single point on PBEsol structure",
  "cell": [[3.3819, 0.0000, 0.0000], [0.0000, 3.3819, 0.0000], [0.0000, 0.0000, 9.3888]],
  "species": ["Y", "Y", "Sc", "Sc"],
  "fractional_positions": [[0.5000, 0.0000, 0.6364], [0.0000, 0.5000, 0.3636], [0.5000, 0.0000, 0.1130], [0.0000, 0.5000, 0.8870]],
  "relative_energy_mev_per_atom": 68,
  "space_group": "No. 129",
  "formation_enthalpy_0k_ev_per_atom": 0.0891
}

=====

{
  "formula": "Y5Sc4",
  "functional": "meta-GGA SCAN",
  "state": "single point on PBEsol structure",
  "cell": [[-2.6103, -1.7432, -3.6103], [-3.8495, -5.9881, 2.5049], [-6.7369, 3.4003, 0.0595]],
  "species": ["Sc", "Sc", "Sc", "Sc", "Y", "Y", "Y", "Y", "Y"],
  "fractional_positions": [[0.0000, 0.3415, 0.6585], [0.0000, 0.6585, 0.3415], [0.6585, 0.3415, 0.3415], [0.3415, 0.6585, 0.6585], [0.0000, 0.0000, 0.0000], [0.6688, 0.6624, 0.0000], [0.3312, 0.3376, 0.0000], [0.6688, 0.0000, 0.6624], [0.3312, 0.0000, 0.3376]],
  "relative_energy_mev_per_atom": 29,
  "space_group": "No. 139",
  "formation_enthalpy_0k_ev_per_atom": 0.0957
}

=====

{
  "formula": "YSc",
  "functional": "meta-GGA SCAN",
  "state": "single point on PBEsol structure",
  "cell": [[-3.5437, 1.3026, -0.0208], [-0.9310, -2.5743, -2.6003], [-0.9113, -2.4354, 2.7374]],
  "species": ["Y", "Sc"],
  "fractional_positions": [[0.5000, 0.5000, 0.5000], [0.0000, 0.0000, 0.0000]],
  "relative_energy_mev_per_atom": 72,
  "space_group": "No. 221",
  "formation_enthalpy_0k_ev_per_atom": 0.0932
}

=====

{
  "formula": "YSc",
  "functional": "meta-GGA SCAN",
  "state": "single point on PBEsol structure",
  "cell": [[3.4067, 0.0000, 0.0000], [-1.7033, 2.9503, 0.0000], [0.0000, 0.0000, 10.7460]],
  "species": ["Y", "Y", "Sc", "Sc"],
  "fractional_positions": [[0.6667, 0.3333, 0.7500], [0.3333, 0.6667, 0.2500], [0.0000, 0.0000, 0.0000], [0.0000, 0.0000, 0.5000]],
  "relative_energy_mev_per_atom": 74,
  "space_group": "No. 194",
  "formation_enthalpy_0k_ev_per_atom": 0.0950
}